# 1
# Ta2SiAu

Ta2SiAu at its PBEsol-relaxed geometry (meta-GGA SCAN, Alexandria via LeMat-Bulk).

Calculated values
The value obtained for the energy is -53.3124 eV per atom. For the uncorrected formation energy, the calculation gives -0.9 eV per formula unit. For the total magnetization, the calculation gives 0.00 μB per cell.

Unit cell a=2.8328 b=4.1380 c=5.5094 alpha=90.00 beta=96.33 gamma=90.00
Closest atoms and distances in Å follow each position.
Positions (direct):
Ta (0.0493, 0.0000, 0.2624)  4 Ta 2.66-2.87, 4 Si 2.69-2.98, 4 Au 2.88-2.90
Si (0.5000, 0.5000, 0.5000)  8 Ta 2.69-2.98, 2 Au 2.75, 2 Si 2.83
Ta (0.9507, 0.0000, 0.7376)  4 Ta 2.66-2.87, 4 Si 2.69-2.98, 4 Au 2.88-2.90
Au (0.5000, 0.5000, 0.0000)  2 Si 2.75, 2 Au 2.83, 8 Ta 2.88-2.90

***

# 2
# Ta2SiAu

Ta2SiAu at its PBEsol-relaxed geometry (meta-GGA SCAN, Alexandria via LeMat-Bulk).

Calculated values
The value obtained for the energy is -53.3191 eV per atom. For the uncorrected formation energy, the calculation gives -0.9 eV per formula unit. For the total magnetization, the calculation gives 0.00 μB per cell.

Unit cell a=3.6961 b=4.1540 c=5.0144 alpha=114.47 beta=111.63 gamma=90.00
Closest atoms and distances in Å follow each position.
Positions (direct):
Ta (0.7435, 0.7435, 0.4870)  4 Si 2.75-2.98, 4 Ta 2.78, 4 Au 2.83-2.91
Au (0.5000, 0.0000, 0.0000)  4 Si 2.78, 8 Ta 2.83-2.91
Si (0.0000, 0.5000, 0.0000)  8 Ta 2.75-2.98, 4 Au 2.78
Ta (0.2565, 0.2565, 0.5130)  4 Si 2.75-2.98, 4 Ta 2.78, 4 Au 2.83-2.91

***

# 3
# Ta2SiAu

Ta2SiAu at its PBEsol-relaxed geometry (meta-GGA SCAN, Alexandria via LeMat-Bulk).

Calculated values
The value obtained for the energy is -52.8121 eV per atom. For the uncorrected formation energy, the calculation gives 1.1 eV per formula unit. For the total magnetization, the calculation gives 0.00 μB per cell.

Unit cell a=4.5275 b=4.5275 c=4.5275 alpha=60.00 beta=60.00 gamma=60.00
Closest atoms and distances in Å follow each position.
Positions (direct):
Ta (0.0000, 0.0000, 0.0000)  4 Si 2.77, 4 Ta 2.77
Ta (0.7500, 0.7500, 0.7500)  4 Ta 2.77, 4 Au 2.77
Au (0.5000, 0.5000, 0.5000)  4 Ta 2.77, 4 Si 2.77
Si (0.2500, 0.2500, 0.2500)  4 Au 2.77, 4 Ta 2.77

***

# 4
# TaSiTeAu2

TaSiTeAu2 at its PBEsol-relaxed geometry (meta-GGA SCAN, Alexandria via LeMat-Bulk).

Calculated values
The value obtained for the energy is -49.4741 eV per atom. For the uncorrected formation energy, the calculation gives 4.8 eV per formula unit. For the total magnetization, the calculation gives 0.00 μB per cell.

Unit cell a=4.9282 b=5.0294 c=5.0294 alpha=90.00 beta=90.00 gamma=90.00
Closest atoms and distances in Å follow each position.
Positions (direct):
Ta (0.0000, 0.0000, 0.0000)  2 Si 2.46, 4 Au 2.51
Au (0.0000, 0.0000, 0.5000)  2 Ta 2.51
Au (0.0000, 0.5000, 0.0000)  2 Ta 2.51
Te (0.5000, 0.5000, 0.5000)  8 Au 3.52, 4 Si 3.56
Si (0.5000, 0.0000, 0.0000)  2 Ta 2.46

***

# 5
# SiTcAu2

SiTcAu2 at its PBEsol-relaxed geometry (meta-GGA SCAN, Alexandria via LeMat-Bulk).

Calculated values
The value obtained for the energy is -45.8072 eV per atom. For the uncorrected formation energy, the calculation gives 0.2 eV per formula unit. For the total magnetization, the calculation gives 0.00 μB per cell.

Unit cell a=2.8661 b=2.8661 c=8.7612 alpha=80.59 beta=80.59 gamma=60.00
Closest atoms and distances in Å follow each position.
Positions (direct):
Au (0.9966, 0.9966, 0.0101)  3 Tc 2.84, 9 Au 2.87-2.95
Si (0.5050, 0.5050, 0.4851)  3 Tc 2.43, 3 Au 2.65
Tc (0.2405, 0.2405, 0.2786)  3 Si 2.43
Au (0.7579, 0.7579, 0.7262)  3 Si 2.65, 9 Au 2.87-2.95

***

# 6
# SiTc2Au

SiTc2Au at its PBEsol-relaxed geometry (meta-GGA SCAN, Alexandria via LeMat-Bulk).

Calculated values
The value obtained for the energy is -37.2916 eV per atom. For the uncorrected formation energy, the calculation gives 0.1 eV per formula unit. For the total magnetization, the calculation gives 0.00 μB per cell.

Unit cell a=2.8450 b=3.8870 c=5.3465 alpha=90.00 beta=102.59 gamma=90.00
Closest atoms and distances in Å follow each position.
Positions (direct):
Si (0.5000, 0.5000, 0.5000)  4 Tc 2.41, 2 Au 2.67
Au (0.5000, 0.5000, 0.0000)  2 Si 2.67, 8 Tc 2.81-2.82, 2 Au 2.85
Tc (0.8847, 0.0000, 0.7204)  2 Si 2.41, 1 Tc 2.58
Tc (0.1153, 0.0000, 0.2796)  2 Si 2.41, 1 Tc 2.58

***

# 7
# SiTcAu2

SiTcAu2 at its PBEsol-relaxed geometry (meta-GGA SCAN, Alexandria via LeMat-Bulk).

Calculated values
The value obtained for the energy is -45.6847 eV per atom. For the uncorrected formation energy, the calculation gives 0.7 eV per formula unit. For the total magnetization, the calculation gives 0.00 μB per cell.

Unit cell a=3.0966 b=4.4457 c=5.2076 alpha=115.27 beta=107.30 gamma=90.00
Closest atoms and distances in Å follow each position.
Positions (direct):
Si (0.5075, 0.5075, 0.0149)  2 Tc 2.38, 2 Au 2.52
Au (0.9988, 0.9988, 0.9976)  4 Si 2.71, 4 Tc 2.91-3.00, 4 Au 2.93-2.97
Tc (0.2103, 0.7103, 0.4206)  2 Si 2.38
Au (0.7834, 0.2834, 0.5668)  2 Si 2.52, 4 Tc 2.79

***

# 8
# SiTcAu2

SiTcAu2 at its PBEsol-relaxed geometry (meta-GGA SCAN, Alexandria via LeMat-Bulk).

Calculated values
The value obtained for the energy is -45.4200 eV per atom. For the uncorrected formation energy, the calculation gives 1.7 eV per formula unit. For the total magnetization, the calculation gives 0.00 μB per cell.

Unit cell a=2.7335 b=2.7335 c=8.3910 alpha=90.00 beta=90.00 gamma=90.00
Closest atoms and distances in Å follow each position.
Positions (direct):
Tc (0.5000, 0.5000, 0.5000)  4 Tc 2.73, 8 Au 2.83
Au (0.0000, 0.0000, 0.7466)  4 Au 2.73, 4 Tc 2.83, 4 Si 2.87
Au (0.0000, 0.0000, 0.2534)  4 Au 2.73, 4 Tc 2.83, 4 Si 2.87
Si (0.5000, 0.5000, 0.0000)  4 Si 2.73, 8 Au 2.87

***

# 9
# SiTcAu2

SiTcAu2 at its PBEsol-relaxed geometry (meta-GGA SCAN, Alexandria via LeMat-Bulk).

Calculated values
The value obtained for the energy is -45.6332 eV per atom. For the uncorrected formation energy, the calculation gives 0.9 eV per formula unit. For the total magnetization, the calculation gives 0.00 μB per cell.

Unit cell a=3.8027 b=3.8027 c=4.1970 alpha=90.00 beta=90.00 gamma=90.00
Closest atoms and distances in Å follow each position.
Positions (direct):
Au (0.0000, 0.5000, 0.0000)  4 Au 2.69, 4 Tc 2.83, 4 Si 2.83
Au (0.5000, 0.0000, 0.0000)  4 Au 2.69, 4 Tc 2.83, 4 Si 2.83
Tc (0.0000, 0.0000, 0.5000)  4 Si 2.69, 8 Au 2.83
Si (0.5000, 0.5000, 0.5000)  4 Tc 2.69, 8 Au 2.83

***

# 10
# SiTc2Au

SiTc2Au at its PBEsol-relaxed geometry (meta-GGA SCAN, Alexandria via LeMat-Bulk).

Calculated values
The value obtained for the energy is -37.2579 eV per atom. For the uncorrected formation energy, the calculation gives 0.3 eV per formula unit. For the total magnetization, the calculation gives 0.00 μB per cell.

Unit cell a=2.9868 b=4.3508 c=4.3508 alpha=90.00 beta=90.00 gamma=90.00
Closest atoms and distances in Å follow each position.
Positions (direct):
Tc (0.0000, 0.5000, 0.0000)  4 Si 2.64, 4 Au 2.64
Au (0.5000, 0.5000, 0.5000)  8 Tc 2.64
Si (0.5000, 0.0000, 0.0000)  8 Tc 2.64
Tc (0.0000, 0.0000, 0.5000)  4 Au 2.64, 4 Si 2.64

***

# 11
# SiTc2Au

SiTc2Au at its PBEsol-relaxed geometry (meta-GGA SCAN, Alexandria via LeMat-Bulk).

Calculated values
The value obtained for the energy is -37.2788 eV per atom. For the uncorrected formation energy, the calculation gives 0.2 eV per formula unit. For the total magnetization, the calculation gives 0.00 μB per cell.

Unit cell a=2.7901 b=2.7901 c=8.7615 alpha=80.84 beta=80.84 gamma=60.00
Closest atoms and distances in Å follow each position.
Positions (direct):
Si (0.2547, 0.2547, 0.2358)  3 Tc 2.56, 3 Au 2.71, 6 Si 2.79
Tc (0.7436, 0.7436, 0.7693)  9 Tc 2.59-2.79, 3 Au 2.90
Tc (0.9982, 0.9982, 0.0054)  3 Si 2.56, 9 Tc 2.59-2.79
Au (0.5035, 0.5035, 0.4895)  3 Si 2.71, 6 Au 2.79, 3 Tc 2.90

***

# 12
# SiTcAu2

SiTcAu2 at its PBEsol-relaxed geometry (meta-GGA SCAN, Alexandria via LeMat-Bulk).

Calculated values
The value obtained for the energy is -45.6054 eV per atom. For the uncorrected formation energy, the calculation gives 1.0 eV per formula unit. For the total magnetization, the calculation gives 0.00 μB per cell.

Unit cell a=2.8134 b=4.4769 c=5.6429 alpha=113.31 beta=104.34 gamma=90.22
Closest atoms and distances in Å follow each position.
Positions (direct):
Tc (0.0000, 0.5000, 0.0000)  4 Si 2.64-2.65, 2 Tc 2.81, 4 Au 2.82
Si (0.5000, 0.0000, 0.0000)  4 Tc 2.64-2.65, 2 Si 2.81, 4 Au 2.82
Au (0.5000, 0.5000, 0.5000)  6 Au 2.64-2.81, 2 Si 2.82, 2 Tc 2.82
Au (0.0000, 0.0000, 0.5000)  6 Au 2.64-2.81, 2 Tc 2.82, 2 Si 2.82

***

# 13
# SiTc2Au

SiTc2Au at its PBEsol-relaxed geometry (meta-GGA SCAN, Alexandria via LeMat-Bulk).

Calculated values
The value obtained for the energy is -37.2489 eV per atom. For the uncorrected formation energy, the calculation gives 0.3 eV per formula unit. For the total magnetization, the calculation gives 0.00 μB per cell.

Unit cell a=2.8683 b=3.6976 c=5.4478 alpha=90.00 beta=90.00 gamma=90.00
Closest atoms and distances in Å follow each position.
Positions (direct):
Si (0.5000, 0.5000, 0.7598)  5 Tc 2.52-2.71, 4 Au 2.71
Tc (0.5000, 0.5000, 0.2225)  1 Si 2.52, 4 Tc 2.61, 4 Au 2.81
Au (0.0000, 0.0000, 0.5086)  4 Si 2.71, 6 Tc 2.72-2.81, 2 Au 2.87
Tc (0.0000, 0.0000, 0.0091)  6 Tc 2.61-2.87, 4 Si 2.71, 2 Au 2.72-2.73

***

# 14
# SiTcAu2

SiTcAu2 at its PBEsol-relaxed geometry (meta-GGA SCAN, Alexandria via LeMat-Bulk).

Calculated values
The value obtained for the energy is -45.8895 eV per atom. For the uncorrected formation energy, the calculation gives -0.2 eV per formula unit. For the total magnetization, the calculation gives 0.00 μB per cell.

Unit cell a=2.8799 b=3.7215 c=5.9277 alpha=90.00 beta=104.06 gamma=90.00
Closest atoms and distances in Å follow each position.
Positions (direct):
Au (0.9380, 0.0000, 0.8759)  1 Si 2.51, 4 Au 2.80
Si (0.1559, 0.0000, 0.3119)  4 Tc 2.47, 3 Au 2.51-2.54
Au (0.3062, 0.5000, 0.6124)  2 Si 2.54, 4 Au 2.80
Tc (0.5895, 0.5000, 0.1790)  4 Si 2.47

***

# 15
# SiTe4Au

SiTe4Au at its PBEsol-relaxed geometry (meta-GGA SCAN, Alexandria via LeMat-Bulk).

Calculated values
The value obtained for the energy is -37.1262 eV per atom. For the uncorrected formation energy, the calculation gives 5.4 eV per formula unit. For the total magnetization, the calculation gives 0.00 μB per cell.

Unit cell a=6.1249 b=6.1249 c=6.1249 alpha=60.00 beta=60.00 gamma=60.00
Closest atoms and distances in Å follow each position.
Positions (direct):
Te (0.8730, 0.3757, 0.3757)  6 Te 3.05-3.08
Te (0.3757, 0.3757, 0.8730)  6 Te 3.05-3.08
Te (0.3757, 0.8730, 0.3757)  6 Te 3.05-3.08
Si (0.0000, 0.0000, 0.0000)  12 Te 3.59, 4 Au 3.75
Au (0.7500, 0.7500, 0.7500)  12 Te 3.59, 4 Si 3.75
Te (0.3757, 0.3757, 0.3757)  6 Te 3.05-3.08